The following is a PBE-GGA calculation of a relaxed Pr6PdRh5 crystal, from the Alexandria database. Values from VASP.

## Properties
Formation energy from the elements = -0.6254 eV/atom
DOS(E_F) = 0.572 states/eV/atom
Total moment = 0.000 μB per atom
SG = Cmmm (65)

Cell and atoms, written as Quantum ESPRESSO input:
```
&SYSTEM
  ibrav = 0, nat = 12, ntyp = 3
/
ATOMIC_SPECIES
Pr 140.91 Pr.upf
Rh 102.91 Rh.upf
Pd 106.42 Pd.upf
CELL_PARAMETERS angstrom
4.949 0.002 -1.027
-0.003 7.201 -0.001
-0.940 0.000 7.928
ATOMIC_POSITIONS angstrom
Pr 1.532 5.373 7.414
Rh 1.021 3.601 4.934
Pd 0.000 0.000 0.000
Rh 2.984 3.602 1.966
Rh -0.002 3.600 0.000
Pr 3.489 5.394 4.405
Pr 0.514 5.392 2.495
Pr 3.491 1.811 4.405
Pr 0.516 1.809 2.495
Rh 1.025 0.001 4.967
Pr 2.473 1.830 -0.514
Rh 2.980 7.202 1.933
```